A relaxed structure of AgTe2C. Source: Alexandria, functional GGA-PBE.

Lattice parameters (Å, degrees): 3.3980 3.3980 26.2319 90.00 90.00 120.00
Last column: nearest neighbours and their distance in Å.
Space group R-3m (No. 166, hexagonal axes)
Unique sites:
1 Ag 0.0000 0.0000 0.0000 [3 per cell]  2 Te 2.81
2 Te 0.0000 0.0000 0.1073 [6 per cell]  3 C 2.50
3 C 0.0000 0.0000 0.5000 [3 per cell]  6 Te 2.50

Output
total magnetic moment	0.0	μB/f.u.
raw total energy	-3.47	eV per atom
E_form (uncorrected)	1121	meV per atom